Model A:
## PtAu3Cl (PBE)

Data for an optimized crystal structure of PtAu3Cl.

abc: 5.107 5.107 5.107
angles: 90.00 90.00 90.00
Element x y z (fractional)
Au 0.500 0.000 0.000
Au 0.000 0.500 0.000
Au 0.000 0.000 0.500
Pt 0.000 0.000 0.000
Cl 0.500 0.500 0.500

Results
DOS at the Fermi energy ... 0.56 states/eV per atom
Density ... 10.2 Mg/m³
Space group ... Pm-3m, No. 221
M_tot ... 0.00 μB/f.u.

=====

Model B:
## PtAu3Cl (PBE)

Data for an optimized crystal structure of PtAu3Cl.

abc: 4.815 4.815 4.815
angles: 90.00 90.00 90.00
Element x y z (fractional)
Pt 0.500 0.500 0.500
Cl 0.000 0.000 0.000
Au 0.000 0.000 0.500
Au 0.500 0.000 0.000
Au 0.000 0.500 0.000

Results
DOS at the Fermi energy ... 0.54 states/eV per atom
Density ... 12.2 Mg/m³
Space group ... Pm-3m, No. 221
M_tot ... 0.00 μB/f.u.

=====

We find model A to be the most stable, with the next structure 362 meV/atom higher.

=====

Model A:
## PtAu2Cl2 (PBE)

Data for an optimized crystal structure of PtAu2Cl2.

abc: 3.626 3.626 9.706
angles: 79.23 79.23 90.00
Element x y z (fractional)
Cl 0.579 0.579 0.842
Cl 0.421 0.421 0.158
Au 0.250 0.750 0.500
Au 0.750 0.250 0.500
Pt 0.000 0.000 0.000

Results
DOS at the Fermi energy ... 0.76 states/eV per atom
Density ... 8.9 Mg/m³
Space group ... I4/mmm, No. 139
M_tot ... 1.64 μB/f.u.

=====

Model B:
## PtAu2Cl2 (PBE)

Data for an optimized crystal structure of PtAu2Cl2.

abc: 6.082 6.082 7.029
angles: 90.00 90.00 90.00
Element x y z (fractional)
Au 0.342 0.158 0.500
Au 0.158 0.658 0.500
Au 0.842 0.342 0.500
Au 0.658 0.842 0.500
Pt 0.500 0.500 0.000
Pt 0.000 0.000 0.000
Cl 0.336 0.836 0.000
Cl 0.664 0.164 0.000
Cl 0.164 0.336 0.000
Cl 0.836 0.664 0.000

Results
DOS at the Fermi energy ... 0.11 states/eV per atom
Density ... 8.4 Mg/m³
Space group ... P4/mbm, No. 127
M_tot ... 0.00 μB/f.u.

=====

We find model B to be the most stable, with the next structure 305 meV/atom higher.

=====

Model A:
## PtAuCl4 (PBE)

Data for an optimized crystal structure of PtAuCl4.

abc: 4.578 8.151 6.585
angles: 124.87 104.09 92.91
Element x y z (fractional)
Pt 0.542 0.542 0.000
Cl 0.628 0.256 0.977
Cl 0.289 0.321 0.554
Cl 0.455 0.827 0.023
Cl 0.794 0.763 0.446
Au 0.542 0.042 0.500

Results
DOS at the Fermi energy ... 0.39 states/eV per atom
Density ... 4.7 Mg/m³
Space group ... P-1, No. 2
M_tot ... 0.00 μB/f.u.

=====

Model B:
## PtAuCl4 (PBE)

Data for an optimized crystal structure of PtAuCl4.

abc: 5.625 5.625 5.625
angles: 60.00 60.00 60.00
Element x y z (fractional)
Cl 0.375 0.375 0.875
Cl 0.875 0.375 0.375
Cl 0.375 0.375 0.375
Cl 0.375 0.875 0.375
Au 0.000 0.000 0.000
Pt 0.750 0.750 0.750

Results
DOS at the Fermi energy ... 1.51 states/eV per atom
Density ... 7.0 Mg/m³
Space group ... F-43m, No. 216
M_tot ... 0.03 μB/f.u.

=====

We find model A to be the most stable, with the next structure 1462 meV/atom higher.